# CsSr3Pd | the Alexandria database | PBE | relaxed
data_CsSr3Pd
_space_group_name_H-M_alt 'P 1'
_space_group_IT_number 1
_cell_length_a 5.0466
_cell_length_b 5.0466
_cell_length_c 27.9648
_cell_angle_alpha 90.00
_cell_angle_beta 90.00
_cell_angle_gamma 120.00
loop_
_space_group_symop_operation_xyz
'x,y,z'
loop_
_atom_site_label
_atom_site_fract_x
_atom_site_fract_y
_atom_site_fract_z
Sr1 0.0000 0.0000 0.7500
Pd1 0.6667 0.3333 0.2500
Cs1 0.0000 0.0000 0.5000
Sr2 0.0000 0.0000 0.2500
Sr3 0.6667 0.3333 0.1421
Pd2 0.3333 0.6667 0.7500
Sr4 0.3333 0.6667 0.6421
Sr5 0.6667 0.3333 0.3579
Sr6 0.3333 0.6667 0.8579
Cs2 0.0000 0.0000 0.0000
# **Space-group type**: P6_3/mmc (194)
# **Polymorph energy (0 for the lowest one)**: 96 kJ/mol of formula units

=====

# CaPmNdEu | the Alexandria database | PBE | relaxed
data_CaPmNdEu
_space_group_name_H-M_alt 'P 1'
_space_group_IT_number 1
_cell_length_a 5.9675
_cell_length_b 5.9675
_cell_length_c 5.9675
_cell_angle_alpha 60.00
_cell_angle_beta 60.00
_cell_angle_gamma 60.00
loop_
_space_group_symop_operation_xyz
'x,y,z'
loop_
_atom_site_label
_atom_site_fract_x
_atom_site_fract_y
_atom_site_fract_z
Nd1 0.7500 0.7500 0.7500
Ca1 0.2500 0.2500 0.2500
Eu1 0.0000 0.0000 0.0000
Pm1 0.5000 0.5000 0.5000
# **Space-group type**: F-43m (216)

=====

# Cs2PO4 | the Alexandria database | PBE | relaxed
data_Cs2PO4
_space_group_name_H-M_alt 'P 1'
_space_group_IT_number 1
_cell_length_a 6.4978
_cell_length_b 6.4855
_cell_length_c 8.6494
_cell_angle_alpha 90.00
_cell_angle_beta 103.80
_cell_angle_gamma 90.00
loop_
_space_group_symop_operation_xyz
'x,y,z'
loop_
_atom_site_label
_atom_site_fract_x
_atom_site_fract_y
_atom_site_fract_z
Cs1 0.7082 0.7500 0.0174
Cs2 0.2132 0.2500 0.4610
O1 0.5809 0.0540 0.7283
O2 0.8091 0.2500 0.9568
Cs3 0.7868 0.7500 0.5390
P1 0.2798 0.7500 0.2272
O3 0.5809 0.4460 0.7283
O4 0.4191 0.9460 0.2717
O5 0.4191 0.5540 0.2717
O6 0.1909 0.7500 0.0432
O7 0.0970 0.7500 0.3142
P2 0.7202 0.2500 0.7728
O8 0.9030 0.2500 0.6858
Cs4 0.2918 0.2500 0.9826
# **Space-group type**: P2_1/m (11)
# **Uncorrected formation energy**: -1.987 eV/atom

=====

# NdMg16Al12 | the Alexandria database | PBE | relaxed
data_NdMg16Al12
_space_group_name_H-M_alt 'P 1'
_space_group_IT_number 1
_cell_length_a 9.2279
_cell_length_b 9.2279
_cell_length_c 9.2279
_cell_angle_alpha 109.98
_cell_angle_beta 109.98
_cell_angle_gamma 109.98
loop_
_space_group_symop_operation_xyz
'x,y,z'
loop_
_atom_site_label
_atom_site_fract_x
_atom_site_fract_y
_atom_site_fract_z
Mg1 0.9994 0.6057 0.3119
Al1 0.3699 0.3699 0.1860
Mg2 0.0037 0.0037 0.0037
Mg3 0.0024 0.3444 0.0024
Al2 0.6357 0.8153 0.0021
Mg4 0.3119 0.6057 0.9994
Al3 0.0021 0.8153 0.6357
Mg5 0.3119 0.9994 0.6057
Al4 0.6357 0.0021 0.8153
Al5 0.8153 0.0021 0.6357
Al6 0.1886 0.1886 0.8260
Mg6 0.6851 0.2837 0.6851
Mg7 0.3882 0.3882 0.7209
Al7 0.3699 0.1860 0.3699
Mg8 0.6057 0.9994 0.3119
Mg9 0.0024 0.0024 0.3444
Al8 0.1860 0.3699 0.3699
Mg10 0.6057 0.3119 0.9994
Al9 0.8260 0.1886 0.1886
Nd1 0.6264 0.6264 0.6264
Al10 0.0021 0.6357 0.8153
Al11 0.1886 0.8260 0.1886
Mg11 0.7209 0.3882 0.3882
Mg12 0.6851 0.6851 0.2837
Mg13 0.3444 0.0024 0.0024
Mg14 0.3882 0.7209 0.3882
Al12 0.8153 0.6357 0.0021
Mg15 0.2837 0.6851 0.6851
Mg16 0.9994 0.3119 0.6057
# **Space-group type**: R3m (160)
# **Polymorph energy (0 for the lowest one)**: 7 kJ/mol of formula units

=====

# B4C | the Alexandria database | PBE | relaxed
data_B4C
_space_group_name_H-M_alt 'P 1'
_space_group_IT_number 1
_cell_length_a 13.9735
_cell_length_b 13.9735
_cell_length_c 13.9735
_cell_angle_alpha 11.49
_cell_angle_beta 11.49
_cell_angle_gamma 11.49
loop_
_space_group_symop_operation_xyz
'x,y,z'
loop_
_atom_site_label
_atom_site_fract_x
_atom_site_fract_y
_atom_site_fract_z
B1 0.0228 0.0228 0.0228
B2 0.1272 0.1272 0.1272
B3 0.2135 0.2135 0.2135
B4 0.3965 0.3965 0.3965
C1 0.7912 0.7912 0.7912
B5 0.5955 0.5955 0.5955
B6 0.7535 0.7535 0.7535
C2 0.3588 0.3588 0.3588
B7 0.5545 0.5545 0.5545
B8 0.9365 0.9365 0.9365
# **Space-group type**: R-3m (166)
# **Polymorph energy (0 for the lowest one)**: 319 kJ/mol of formula units

=====

# TlCuSe2 | the Alexandria database | PBE | relaxed
data_TlCuSe2
_space_group_name_H-M_alt 'P 1'
_space_group_IT_number 1
_cell_length_a 4.9508
_cell_length_b 4.9508
_cell_length_c 4.9508
_cell_angle_alpha 60.00
_cell_angle_beta 60.00
_cell_angle_gamma 60.00
loop_
_space_group_symop_operation_xyz
'x,y,z'
loop_
_atom_site_label
_atom_site_fract_x
_atom_site_fract_y
_atom_site_fract_z
Tl1 0.7500 0.7500 0.7500
Se1 0.0000 0.0000 0.0000
Se2 0.2500 0.2500 0.2500
Cu1 0.5000 0.5000 0.5000
# **Space-group type**: F-43m (216)
# **Uncorrected formation energy**: 0.408 eV/atom

=====

# AlZnMo2 | the Alexandria database | PBE | relaxed
data_AlZnMo2
_space_group_name_H-M_alt 'P 1'
_space_group_IT_number 1
_cell_length_a 4.2955
_cell_length_b 2.7015
_cell_length_c 5.4478
_cell_angle_alpha 74.29
_cell_angle_beta 90.00
_cell_angle_gamma 90.00
loop_
_space_group_symop_operation_xyz
'x,y,z'
loop_
_atom_site_label
_atom_site_fract_x
_atom_site_fract_y
_atom_site_fract_z
Mo1 0.0000 0.4924 0.5046
Al1 0.5000 0.7500 0.7500
Mo2 0.0000 0.0076 0.9954
Zn1 0.5000 0.2500 0.2500
# **Space-group type**: P2/m (10)

=====

# MoP2PdN | the Alexandria database | PBE | relaxed
data_MoP2PdN
_space_group_name_H-M_alt 'P 1'
_space_group_IT_number 1
_cell_length_a 4.2525
_cell_length_b 3.8760
_cell_length_c 4.2525
_cell_angle_alpha 90.00
_cell_angle_beta 90.00
_cell_angle_gamma 90.00
loop_
_space_group_symop_operation_xyz
'x,y,z'
loop_
_atom_site_label
_atom_site_fract_x
_atom_site_fract_y
_atom_site_fract_z
N1 0.0000 0.0000 0.0000
Mo1 0.0000 0.5000 0.0000
P1 0.0000 0.0000 0.5000
P2 0.5000 0.0000 0.0000
Pd1 0.5000 0.5000 0.5000
# **Space-group type**: P4/mmm (123)
# **Uncorrected formation energy**: 0.558 eV/atom

=====

What did we get for energy? Answer: -22.59, -21.31, -81.71, -77.25, -66.27, -11.80, -26.72, -32.38 eV for the cell shown, in the order shown.